PBE Rb3CdAg3Br8, optimized geometry; spin magnetization = 0.000 μB/f.u.; formation energy from raw total energies = -0.9670 eV/atom; energy = -2.684 eV/atom; space-group type = No. 12
1.0
7.641 -4.286 0.000
7.641 4.286 0.000
-5.005 0.000 7.741
Rb Cd Ag Br
3 1 3 8
direct
0.000 0.000 0.000
0.000 0.500 0.000
0.500 0.000 0.000
0.000 0.000 0.500
0.000 0.500 0.500
0.500 0.000 0.500
0.500 0.500 0.500
0.225 0.225 0.692
0.232 0.746 0.698
0.254 0.768 0.302
0.263 0.263 0.303
0.737 0.737 0.697
0.746 0.232 0.698
0.768 0.254 0.302
0.775 0.775 0.308